Entry 1:
10
Lattice="7.6465 -1.9960 0.0000 7.6465 1.9960 0.0000 -0.5731 0.0000 5.5596" Properties=species:S:1:pos:R:3 comment="Pa4Co5Ru (GGA-PBE, optimized geometry)" formation_enthalpy_0k_ev_per_atom=-0.404 crystal_system=monoclinic pbc="T T T"
Pa 1.3428 0.0000 1.5822
Pa 4.8389 0.0000 1.0560
Pa 9.8809 0.0000 4.5037
Pa 13.3770 0.0000 3.9774
Co 0.6923 0.0000 4.3839
Co 3.6970 0.0000 3.7287
Co 7.6465 0.0000 0.0000
Co 11.0228 0.0000 1.8309
Co 14.0275 0.0000 1.1757
Ru 7.3599 0.0000 2.7798

=====

Entry 2:
16
Lattice="4.0709 0.0000 0.0000 0.0000 4.0709 0.0000 0.0000 0.0000 16.3010" Properties=species:S:1:pos:R:3 comment="BiPF2 (GGA-PBE, optimized geometry)" crystal_system=tetragonal raw_formation_energy_mev_per_atom=-971 pbc="T T T"
Bi 0.0000 0.0000 0.0000
Bi 0.0000 2.0354 4.0752
Bi 2.0354 0.0000 12.2257
Bi 2.0354 2.0354 8.1505
P 0.0000 0.0000 8.1505
P 0.0000 2.0354 12.2257
P 2.0354 0.0000 4.0752
P 2.0354 2.0354 0.0000
F 1.0166 1.0177 2.0376
F 1.0188 1.0177 10.1881
F 1.0177 3.0520 6.1129
F 1.0177 3.0543 14.2633
F 3.0532 1.0188 6.1129
F 3.0532 1.0166 14.2633
F 3.0543 3.0532 2.0376
F 3.0520 3.0532 10.1881

=====

Entry 3:
8
Lattice="9.6659 0.0000 0.0000 0.0000 3.2328 0.0000 -4.8142 0.0000 5.6519" Properties=species:S:1:pos:R:3 comment="CdSiP2 (GGA-PBE, optimized geometry)" crystal_system=monoclinic raw_formation_energy_mev_per_atom=216 pbc="T T T"
Cd 0.0000 0.0000 0.0000
Cd 4.8330 1.6164 0.0000
Si 0.0143 0.0000 2.5662
Si 4.8473 1.6164 2.5662
P -1.5305 1.6164 3.4870
P 1.5617 1.6164 3.4814
P 3.3025 0.0000 3.4870
P 6.3946 0.0000 3.4814

=====

Entry 4:
13
Lattice="4.5009 0.0000 0.0000 0.0000 4.5211 0.0000 0.0000 0.0000 17.3845" Properties=species:S:1:pos:R:3 comment="Th4Sn8Ru (GGA-PBE, optimized geometry)" formation_enthalpy_0k_ev_per_atom=-0.496 crystal_system=orthorhombic pbc="T T T"
Th 0.0000 0.0000 0.0000
Th 0.0000 2.2606 8.5015
Th 2.2505 0.0000 13.5627
Th 2.2505 2.2606 5.0401
Sn 0.0000 0.0000 5.6967
Sn 0.0000 0.0000 10.8552
Sn 0.0000 2.2606 2.5262
Sn 0.0000 2.2606 14.7538
Sn 2.2505 0.0000 2.5189
Sn 2.2505 0.0000 7.8413
Sn 2.2505 2.2606 10.8384
Sn 2.2505 2.2606 16.6799
Ru 0.0000 2.2606 12.1901

=====

Entry 5:
4
Lattice="2.8468 0.0000 0.0000 0.0000 4.6300 0.0000 -1.3554 0.0000 5.8498" Properties=species:S:1:pos:R:3 comment="Ag2OsPb (GGA-PBE, optimized geometry)" formation_enthalpy_0k_ev_per_atom=0.728 crystal_system=monoclinic pbc="T T T"
Ag 0.0000 0.0000 0.0000
Ag 0.0299 2.3150 4.3431
Os 1.4302 2.3150 1.2783
Pb 1.4242 0.0000 2.8110

=====

Entry 6:
20
Lattice="-5.0080 5.0080 5.0080 5.0080 -5.0080 5.0080 5.0080 5.0080 -5.0080" Properties=species:S:1:pos:R:3 comment="Pu12AgRu7 (GGA-PBE, optimized geometry)" formation_enthalpy_0k_ev_per_atom=0.126 crystal_system=cubic pbc="T T T"
Pu 5.0080 -1.8672 3.1131
Pu 3.1408 1.8949 0.0000
Pu 6.8752 1.8949 0.0000
Pu 3.1131 5.0080 -1.8672
Pu 1.8949 0.0000 3.1408
Pu 5.0080 1.8672 3.1131
Pu 0.0000 3.1408 1.8949
Pu 3.1131 5.0080 1.8672
Pu 1.8949 0.0000 6.8752
Pu -1.8672 3.1131 5.0080
Pu 1.8672 3.1131 5.0080
Pu 0.0000 6.8752 1.8949
Ag 0.0000 0.0000 0.0000
Ru 2.5040 2.5040 -2.5040
Ru 2.5040 -2.5040 2.5040
Ru 5.0080 0.0000 0.0000
Ru -2.5040 2.5040 2.5040
Ru 0.0000 5.0080 0.0000
Ru 0.0000 0.0000 5.0080
Ru 2.5040 2.5040 2.5040

=====

Entry 7:
18
Lattice="3.0813 -5.3360 0.0000 3.0813 5.3360 0.0000 -2.0550 0.0000 17.2190" Properties=species:S:1:pos:R:3 comment="Y12Ho5Sc (GGA-PBE, optimized geometry)" formation_enthalpy_0k_ev_per_atom=0.021 crystal_system=monoclinic pbc="T T T"
Y 1.0171 1.7614 2.8166
Y 0.0008 0.0000 5.7254
Y 1.0259 1.7785 11.5081
Y -0.0208 0.0000 14.4031
Y 1.0171 -1.7614 2.8166
Y 3.0817 1.7785 5.7109
Y 1.0259 -1.7785 11.5081
Y 3.0905 1.7614 14.4024
Y 4.1284 0.0000 2.8159
Y 3.0817 -1.7785 5.7109
Y 4.1069 0.0000 11.4936
Y 3.0905 -1.7614 14.4024
Ho 2.0538 3.5540 8.6095
Ho 3.0813 1.7789 0.0000
Ho 2.0538 0.0000 8.6095
Ho 3.0813 -1.7789 0.0000
Ho 2.0538 -3.5540 8.6095
Sc 0.0000 0.0000 0.0000

=====

Entry 8:
19
Lattice="3.6800 2.1247 3.5655 -3.6800 2.1247 3.5655 0.0000 -4.2493 3.5655" Properties=species:S:1:pos:R:3 comment="HfBe17Re (GGA-PBE, optimized geometry)" formation_enthalpy_0k_ev_per_atom=-0.162 crystal_system=trigonal pbc="T T T"
Hf 0.0000 0.0000 0.0000
Be 0.0000 -2.0549 1.8309
Be -1.7796 1.0275 1.8309
Be -1.8675 -1.0782 5.2845
Be 0.0000 -2.1181 5.1436
Be -1.8344 1.0591 5.1436
Be -1.0611 -1.9133 7.0547
Be -2.1875 0.0377 7.0547
Be 1.7796 1.0275 1.8309
Be 0.0000 0.0000 5.9526
Be 1.0611 -1.9133 7.0547
Be -1.1264 1.8756 7.0547
Be 1.8675 -1.0782 5.2846
Be 0.0000 2.1564 5.2846
Be 0.0000 0.0000 8.0632
Be 1.8344 1.0591 5.1436
Be 2.1875 0.0377 7.0547
Be 1.1264 1.8756 7.0547
Re 0.0000 0.0000 3.4165

=====

- What is the formula in the first record?
  Pa4Co5Ru